Material: HoAlSe3
Method: DFT, PBE
State: optimized geometry

Its calculated density is 5.81 g/cm³. The relative energy among the computed polymorphs comes out at 91 meV per atom. As for the symmetry: C2/m (12). For the uncorrected formation energy, the calculation gives -1.267 eV/atom.

```
HoAlSe3
1.0
4.238 -0.015 -0.012
0.100 7.827 0.350
0.100 2.308 7.488
Ho Se Al
2 6 2
direct
0.980 0.190 0.628
0.504 0.715 0.154
0.998 0.000 0.052
0.999 0.556 0.995
0.487 0.905 0.730
0.487 0.291 0.344
0.998 0.613 0.439
0.486 0.349 0.788
0.743 0.646 0.698
0.742 0.259 0.085
```